Entry 1:
In7Sn4Hg | PBE | relaxed

Calculated values
Excess energy over the best structure of this formula in the dataset = 0.0000 eV/atom
Space-group type = P-3m1, No. 164

```
In7Sn4Hg
1.0
-1.898 2.372 1.541
-1.098 -1.455 -2.877
-14.805 -23.119 17.345
In Sn Hg
7 4 1
Direct
0.333 0.667 0.168
0.667 0.333 0.580
0.000 0.000 0.252
0.667 0.333 0.832
0.333 0.667 0.420
0.000 0.000 0.748
0.000 0.000 0.000
0.333 0.667 0.664
0.667 0.333 0.084
0.333 0.667 0.916
0.667 0.333 0.336
0.000 0.000 0.500
```

Entry 2:
In9Sn2Hg4 | PBE | relaxed

Calculated values
Space-group type = P-1, No. 2

```
In9Sn2Hg4
1.0
4.490 -0.271 -0.017
-1.782 5.310 -0.574
-0.105 -1.935 17.303
In Sn Hg
9 2 4
Direct
0.994 0.992 0.103
0.006 0.008 0.897
0.335 0.667 0.966
0.005 0.010 0.699
0.665 0.333 0.034
0.995 0.990 0.301
0.668 0.338 0.430
0.332 0.662 0.570
0.000 0.000 0.500
0.659 0.334 0.233
0.341 0.666 0.767
0.325 0.661 0.166
0.333 0.671 0.369
0.675 0.339 0.834
0.667 0.329 0.631
```

Entry 3:
In8Sn3Hg | PBE | relaxed

Calculated values
Space-group type = C2, No. 5

```
In8Sn3Hg
1.0
7.244 1.237 -1.681
-4.007 5.503 -3.239
1.696 -0.946 7.962
In Sn Hg
8 3 1
Direct
0.116 0.869 0.246
0.468 0.299 0.359
0.790 0.066 0.232
0.939 0.109 0.641
0.302 0.628 0.863
0.765 0.438 0.137
0.623 0.870 0.754
0.834 0.558 0.768
0.423 0.196 0.724
0.472 0.700 0.276
0.135 0.635 0.500
0.132 0.132 0.000
```

Entry 4:
In7SnHg5 | PBE | relaxed

Calculated values
Space-group type = Cm, No. 8

```
In7SnHg5
1.0
8.748 -0.010 3.195
5.008 6.137 1.897
2.920 -0.327 7.597
In Hg Sn
7 5 1
Direct
0.550 0.181 0.823
0.550 0.823 0.181
0.667 0.329 0.329
0.924 0.810 0.170
0.048 0.332 0.332
0.425 0.673 0.673
0.924 0.170 0.810
0.762 0.684 0.684
0.076 0.502 0.851
0.395 0.135 0.494
0.076 0.851 0.502
0.395 0.494 0.135
0.209 0.017 0.017
```

Entry 5:
In3SnHg3 | PBE | relaxed

Calculated values
Excess energy over the best structure of this formula in the dataset = 0.0000 eV/atom
Space-group type = P6_3/m, No. 176

```
In3SnHg3
1.0
5.762 0.000 0.000
0.000 8.658 0.000
0.000 -4.329 7.498
In Hg Sn
6 6 2
Direct
0.750 0.468 0.095
0.250 0.095 0.627
0.250 0.532 0.905
0.750 0.905 0.373
0.750 0.627 0.532
0.250 0.373 0.468
0.250 0.958 0.193
0.750 0.193 0.235
0.750 0.765 0.958
0.750 0.042 0.807
0.250 0.235 0.042
0.250 0.807 0.765
0.750 0.333 0.667
0.250 0.667 0.333
```

Entry 6:
InSn2Hg9 | PBE | relaxed

Calculated values
Space-group type = P4/mmm, No. 123

```
InSn2Hg9
1.0
5.690 0.000 0.000
0.000 5.690 0.000
0.000 0.000 9.938
Hg In Sn
9 1 2
Direct
0.500 0.500 0.665
0.000 0.500 0.500
0.500 0.000 0.500
0.500 0.000 0.169
0.500 0.500 0.335
0.000 0.500 0.169
0.000 0.500 0.831
0.500 0.000 0.831
0.500 0.500 0.000
0.000 0.000 0.000
0.000 0.000 0.338
0.000 0.000 0.662
```

Entry 7:
In2Sn6Hg | PBE | relaxed

Calculated values
Space-group type = Cmmm, No. 65

```
In2Sn6Hg
1.0
-1.922 0.521 -2.442
-7.506 -2.438 5.390
-4.612 6.672 5.055
Sn In Hg
6 2 1
Direct
0.500 0.668 0.332
0.501 0.000 0.332
0.499 0.668 0.000
0.499 0.000 0.668
0.501 0.332 0.000
0.500 0.332 0.668
0.000 0.667 0.667
0.000 0.333 0.333
0.000 0.000 0.000
```

Entry 8:
In3Sn2Hg6 | PBE | relaxed

Calculated values
Space-group type = C2/m, No. 12

```
In3Sn2Hg6
1.0
5.794 0.971 1.400
1.005 5.788 1.400
3.314 3.294 10.817
Hg In Sn
6 3 2
Direct
0.155 0.155 0.501
0.845 0.845 0.499
0.655 0.145 0.821
0.145 0.655 0.821
0.855 0.345 0.179
0.345 0.855 0.179
0.000 0.000 0.000
0.689 0.689 0.349
0.311 0.311 0.651
0.363 0.363 0.167
0.637 0.637 0.833
```

Entry 9:
In2SnHg | PBE | relaxed

Calculated values
Space-group type = R3m, No. 160

```
In2SnHg
1.0
-0.265 0.507 -3.357
-1.294 -2.439 -1.994
-10.343 3.430 -0.393
In Hg Sn
2 1 1
Direct
0.082 0.082 0.753
0.251 0.251 0.246
0.666 0.666 0.001
0.500 0.500 0.500
```

Entry 10:
In6SnHg4 | PBE | relaxed

Calculated values
Space-group type = P-6m2, No. 187

```
In6SnHg4
1.0
-0.381 2.349 2.704
-8.999 2.334 -3.297
1.120 -7.320 6.516
In Hg Sn
6 4 1
Direct
0.000 0.507 0.013
0.500 0.155 0.845
0.500 0.690 0.845
0.500 0.155 0.310
0.000 0.987 0.493
0.000 0.507 0.493
0.500 0.412 0.206
0.500 0.794 0.588
0.500 0.794 0.206
0.000 0.333 0.667
0.000 0.000 0.000
```

Entry 11:
In7SnHg12 | PBE | relaxed

Calculated values
Excess energy over the best structure of this formula in the dataset = 0.0000 eV/atom
Space-group type = R-3, No. 148

```
In7SnHg12
1.0
-4.466 -7.665 0.408
8.496 -1.879 -1.776
-0.340 3.790 8.024
Sn Hg In
1 12 7
Direct
0.000 0.000 0.000
0.323 0.087 0.731
0.913 0.269 0.677
0.499 0.846 0.532
0.087 0.731 0.323
0.846 0.532 0.499
0.731 0.323 0.087
0.468 0.501 0.154
0.532 0.499 0.846
0.677 0.913 0.269
0.154 0.468 0.501
0.269 0.677 0.913
0.501 0.154 0.468
0.609 0.911 0.908
0.391 0.089 0.092
0.089 0.092 0.391
0.911 0.908 0.609
0.092 0.391 0.089
0.500 0.500 0.500
0.908 0.609 0.911
```

Entry 12:
InSnHg3 | PBE | relaxed

Calculated values
Excess energy over the best structure of this formula in the dataset = 0.0000 eV/atom
Space-group type = Pmma, No. 51

```
InSnHg3
1.0
-0.502 -4.409 3.240
-2.337 -3.179 -4.689
8.183 -2.624 -2.300
Sn In Hg
2 2 6
Direct
0.500 0.250 0.674
0.500 0.750 0.326
0.000 0.750 0.850
0.000 0.250 0.150
0.500 0.000 0.000
0.500 0.250 0.341
0.000 0.750 0.214
0.500 0.500 0.000
0.500 0.750 0.659
0.000 0.250 0.786
```

no.,mass density (Mg/m³),formation enthalpy at 0 K (eV/atom)
1,7.53,0.03
2,8.63,0.02
3,7.26,0.06
4,9.10,0.04
5,9.46,0.03
6,11.13,0.05
7,7.61,0.05
8,9.63,0.04
9,8.46,0.02
10,8.81,0.03
11,9.73,0.05
12,9.26,0.08